Density functional theory data (GGA+U) for a relaxed structure of FeTeN2O.

Cell: 3.4536 3.4536 5.5136 Å, 90.00 90.00 90.00°
Positions (direct):
Fe 0.0000 0.0000 0.0000
Te 0.0000 0.0000 0.5000
N 0.0000 0.5000 0.0000
N 0.5000 0.0000 0.0000
O 0.5000 0.5000 0.5000

The calculation puts the total energy at -4.828 eV per atom. Its theoretical density is 5.74 Mg/m³. The spin magnetization comes out at 0.058 μB per atom. As for the space-group type: P4/mmm.